Record 1
DFT (PBE-GGA) results for a geometry-optimized Sr2InSb3Ir4 structure.

Output
For the calculated density, the calculation gives 10.56 Mg/m³. As for the formation energy without anion corrections: -468.0 meV per atom. The calculation puts the calculated volume at 224 Å³ per cell. The calculation puts the density of states at the Fermi level at 7.03 states/eV/cell. The space group is P-4m2 (115).

Unit cell a=4.487 b=4.487 c=11.124 alpha=90.00 beta=90.00 gamma=90.00
Element x y z (fractional)
1 Sr 0.000 0.500 0.250
2 Sr 0.500 0.000 0.750
3 In 0.000 0.000 0.500
4 Sb 0.000 0.500 0.868
5 Sb 0.500 0.000 0.132
6 Sb 0.500 0.500 0.500
7 Ir 0.000 0.000 0.000
8 Ir 0.000 0.500 0.634
9 Ir 0.500 0.000 0.366
10 Ir 0.500 0.500 0.000

Record 2
DFT (PBE-GGA) results for a geometry-optimized Sm2Y3Cd2 structure.

Output
For the calculated density, the calculation gives 6.46 Mg/m³. The value obtained for the energy of formation is -0.05 eV/atom. The calculation puts the calculated volume at 204 Å³ per cell. The calculation puts the density of states at the Fermi level at 8.29 states/eV/cell. The space group is Cmmm (65).

Unit cell a=11.948 b=11.948 c=3.498 alpha=90.00 beta=90.00 gamma=155.91
Element x y z (fractional)
1 Sm 0.211 0.789 0.000
2 Sm 0.789 0.211 0.000
3 Y 0.359 0.641 0.500
4 Y 0.500 0.500 0.500
5 Y 0.641 0.359 0.500
6 Cd 0.069 0.931 0.000
7 Cd 0.931 0.069 0.000

Record 3
DFT (PBE-GGA) results for a geometry-optimized LiRu3S structure.

Output
For the calculated density, the calculation gives 7.00 Mg/m³. As for the formation energy without anion corrections: 390.0 meV per atom. The calculation puts the calculated volume at 81 Å³ per cell. The calculation puts the density of states at the Fermi level at 6.27 states/eV/cell. The space group is Pm-3m (221).

Unit cell a=4.330 b=4.330 c=4.330 alpha=90.00 beta=90.00 gamma=90.00
Element x y z (fractional)
1 Li 0.000 0.000 0.000
2 Ru 0.000 0.500 0.500
3 Ru 0.500 0.000 0.500
4 Ru 0.500 0.500 0.000
5 S 0.500 0.500 0.500

Record 4
DFT (PBE-GGA) results for a geometry-optimized La7Hg2Au2 structure.

Output
For the calculated density, the calculation gives 8.04 Mg/m³. The value obtained for the energy of formation is -0.31 eV/atom. The calculation puts the calculated volume at 365 Å³ per cell. The calculation puts the density of states at the Fermi level at 14.97 states/eV/cell. The space group is Cmmm (65).

Unit cell a=7.179 b=7.179 c=7.417 alpha=90.00 beta=90.00 gamma=107.28
Element x y z (fractional)
1 La 0.000 0.000 0.000
2 La 0.000 0.500 0.280
3 La 0.000 0.500 0.720
4 La 0.500 0.000 0.280
5 La 0.500 0.000 0.720
6 La 0.500 0.500 0.271
7 La 0.500 0.500 0.729
8 Hg 0.168 0.168 0.500
9 Hg 0.832 0.832 0.500
10 Au 0.288 0.712 0.000
11 Au 0.712 0.288 0.000

Record 5
DFT (PBE-GGA) results for a geometry-optimized YFe2Co structure.

Output
For the calculated density, the calculation gives 6.48 Mg/m³. The value obtained for the energy of formation is 0.00 eV/atom. The calculation puts the calculated volume at 67 Å³ per cell. The calculation puts the density of states at the Fermi level at 3.52 states/eV/cell. The space group is R3m (160).

Unit cell a=5.340 b=5.340 c=5.340 alpha=43.92 beta=43.92 gamma=43.92
Element x y z (fractional)
1 Y 0.000 0.000 0.000
2 Fe 0.506 0.506 0.506
3 Fe 0.804 0.804 0.804
4 Co 0.191 0.191 0.191

Record 6
DFT (PBE-GGA) results for a geometry-optimized Co2ReRu structure.

Output
For the calculated density, the calculation gives 12.36 Mg/m³. The value obtained for the energy of formation is 0.74 eV/atom. The calculation puts the calculated volume at 109 Å³ per cell. The calculation puts the density of states at the Fermi level at 13.26 states/eV/cell. The space group is I-42d (122).

Unit cell a=5.273 b=5.273 c=5.273 alpha=103.65 beta=103.65 gamma=121.88
Element x y z (fractional)
1 Co 0.111 0.125 0.486
2 Co 0.375 0.889 0.014
3 Co 0.639 0.625 0.514
4 Co 0.875 0.361 0.986
5 Re 0.000 0.000 0.000
6 Re 0.750 0.250 0.500
7 Ru 0.250 0.750 0.500
8 Ru 0.500 0.500 0.000

Record 7
DFT (PBE-GGA) results for a geometry-optimized ReAgRh2F structure.

Output
For the calculated density, the calculation gives 7.43 Mg/m³. As for the formation energy without anion corrections: 2369.5 meV per atom. The calculation puts the calculated volume at 116 Å³ per cell. The calculation puts the density of states at the Fermi level at 17.26 states/eV/cell. The space group is P4/mmm (123).

Unit cell a=4.914 b=4.914 c=4.801 alpha=90.00 beta=90.00 gamma=90.00
Element x y z (fractional)
1 Re 0.000 0.000 0.000
2 Ag 0.000 0.000 0.500
3 Rh 0.000 0.500 0.500
4 Rh 0.500 0.000 0.500
5 F 0.500 0.500 0.000

Record 8
DFT (PBE-GGA) results for a geometry-optimized SrTc3F structure.

Output
For the calculated density, the calculation gives 4.42 Mg/m³. As for the formation energy without anion corrections: 2814.0 meV per atom. The calculation puts the calculated volume at 151 Å³ per cell. The calculation puts the density of states at the Fermi level at 4.46 states/eV/cell. The space group is Pm-3m (221).

Unit cell a=5.320 b=5.320 c=5.320 alpha=90.00 beta=90.00 gamma=90.00
Element x y z (fractional)
1 Sr 0.000 0.000 0.000
2 Tc 0.000 0.000 0.500
3 Tc 0.000 0.500 0.000
4 Tc 0.500 0.000 0.000
5 F 0.500 0.500 0.500

Record 9
DFT (PBE-GGA) results for a geometry-optimized SnOs structure.

Output
For the calculated density, the calculation gives 12.91 Mg/m³. The value obtained for the energy of formation is 1.06 eV/atom. The calculation puts the calculated volume at 40 Å³ per cell. The calculation puts the density of states at the Fermi level at 2.94 states/eV/cell. The space group is Fm-3m (225).

Unit cell a=3.830 b=3.830 c=3.830 alpha=60.00 beta=60.00 gamma=60.00
Element x y z (fractional)
1 Sn 0.000 0.000 0.000
2 Os 0.500 0.500 0.500

Record 10
DFT (PBE-GGA) results for a geometry-optimized KSc2NbP structure.

Output
For the calculated density, the calculation gives 3.08 Mg/m³. The value obtained for the energy of formation is 0.33 eV/atom. The calculation puts the calculated volume at 136 Å³ per cell. The calculation puts the density of states at the Fermi level at 6.44 states/eV/cell. The space group is P4/mmm (123).

Unit cell a=5.236 b=5.236 c=4.966 alpha=90.00 beta=90.00 gamma=90.00
Element x y z (fractional)
1 K 0.000 0.000 0.000
2 Sc 0.000 0.500 0.500
3 Sc 0.500 0.000 0.500
4 Nb 0.500 0.500 0.500
5 P 0.500 0.500 0.000

Record 11
DFT (PBE-GGA) results for a geometry-optimized CaIn3Bi3 structure.

Output
For the calculated density, the calculation gives 7.50 Mg/m³. The value obtained for the energy of formation is -0.14 eV/atom. The calculation puts the calculated volume at 448 Å³ per cell. The calculation puts the density of states at the Fermi level at 6.72 states/eV/cell. The space group is Cmmm (65).

Unit cell a=7.076 b=7.076 c=8.949 alpha=90.00 beta=90.00 gamma=91.14
Element x y z (fractional)
1 Ca 0.230 0.230 0.000
2 Ca 0.770 0.770 0.000
3 In 0.182 0.182 0.500
4 In 0.241 0.759 0.000
5 In 0.273 0.727 0.500
6 In 0.727 0.273 0.500
7 In 0.759 0.241 0.000
8 In 0.818 0.818 0.500
9 Bi 0.000 0.500 0.250
10 Bi 0.000 0.500 0.750
11 Bi 0.500 0.000 0.250
12 Bi 0.500 0.000 0.750
13 Bi 0.500 0.500 0.237
14 Bi 0.500 0.500 0.763

Record 12
DFT (PBE-GGA) results for a geometry-optimized FeSb structure.

Output
For the calculated density, the calculation gives 6.09 Mg/m³. As for the formation energy without anion corrections: 387.9 meV per atom. The calculation puts the calculated volume at 291 Å³ per cell. The calculation puts the density of states at the Fermi level at 7.37 states/eV/cell. The space group is P6_3/m (176).

Unit cell a=9.512 b=9.512 c=3.709 alpha=90.00 beta=90.00 gamma=120.00
Element x y z (fractional)
1 Fe 0.007 0.438 0.250
2 Fe 0.431 0.993 0.250
3 Fe 0.438 0.431 0.750
4 Fe 0.562 0.569 0.250
5 Fe 0.569 0.007 0.750
6 Fe 0.993 0.562 0.750
7 Sb 0.161 0.754 0.250
8 Sb 0.246 0.407 0.250
9 Sb 0.407 0.161 0.750
10 Sb 0.593 0.839 0.250
11 Sb 0.754 0.593 0.750
12 Sb 0.839 0.246 0.750